Record 1
Compound: Pm4Sm5In
Source: Alexandria
Functional: PBE
Structure: optimized geometry

Results
D(E_F): 1.7166 states/eV/atom
energy of formation from the pure elements: 3 meV per atom
final energy: -4.53 eV/atom
total moment: 0.000 μB per cell

a b c (Å): 4.234 4.234 18.247
angles (deg): 90.00 90.00 90.00
Fractional positions:
1 Pm 0.000 0.000 0.196
2 Pm 0.000 0.000 0.399
3 Pm 0.000 0.000 0.601
4 Pm 0.000 0.000 0.804
5 Sm 0.500 0.500 0.088
6 Sm 0.500 0.500 0.294
7 Sm 0.500 0.500 0.500
8 Sm 0.500 0.500 0.706
9 Sm 0.500 0.500 0.912
10 In 0.000 0.000 0.000

Record 2
Compound: Pm2SmIn
Source: Alexandria
Functional: PBE
Structure: optimized geometry

Results
D(E_F): 1.6655 states/eV/atom
energy of formation from the pure elements: -273 meV per atom
final energy: -4.51 eV/atom
total moment: 0.532 μB per cell

a b c (Å): 4.959 4.947 4.947
angles (deg): 90.00 90.00 90.00
Site moments in Bohr magnetons follow the coordinates.
Fractional positions:
1 In 0.500 0.000 0.000  0.00
2 Sm 0.500 0.500 0.500  0.10
3 Pm 0.000 0.000 0.500  0.10
4 Pm 0.000 0.500 0.000  0.10